Record 1
Density functional theory data (PBEsol) for crystalline Li2VF5 at its relaxed geometry.

Results
- total magnetic moment (μB/atom) = 0.25
- relative energy among the computed polymorphs (meV per atom) = 46
- calculated density (g/cm³) = 2.877
- formation energy without anion corrections (eV per atom) = -2.8668
- space group = Pna2_1, No. 33
- crystal system = orthorhombic

abc: 6.3604 7.4971 7.7379
angles: 90.00 90.00 90.00
Site moments in Bohr magnetons follow the coordinates.
Positions (direct):
F1 0.2098 0.2717 0.6261  0.00
Li1 0.1872 0.7736 0.8821  0.00
F2 0.5553 0.2504 0.8364  0.01
F3 0.9447 0.2504 0.3364  0.01
V1 0.2572 0.2418 0.8753  1.85
V2 0.7428 0.7418 0.1247  1.85
Li2 0.3128 0.7736 0.3821  0.00
F4 0.2925 0.9951 0.8779  0.01
F5 0.2439 0.5066 0.3750  0.00
F6 0.2561 0.5066 0.8750  0.00
F7 0.0389 0.7191 0.0883  0.01
Li3 0.8128 0.2736 0.1179  0.00
Li4 0.7760 0.0465 0.3741  0.00
V3 0.2428 0.2418 0.3753  1.85
Li5 0.2240 0.5465 0.6259  0.00
F8 0.9611 0.2191 0.9117  0.01
F9 0.4447 0.7504 0.1636  0.01
F10 0.5389 0.2191 0.4117  0.01
F11 0.2902 0.2717 0.1261  0.00
F12 0.7925 0.4951 0.6221  0.01
F13 0.7561 0.0066 0.6250  0.00
Li6 0.6872 0.2736 0.6179  0.00
F14 0.7075 0.4951 0.1221  0.01
F15 0.7098 0.7717 0.8739  0.00
F16 0.2075 0.9951 0.3779  0.01
Li7 0.2760 0.5465 0.1259  0.00
Li8 0.7240 0.0465 0.8741  0.00
V4 0.7572 0.7418 0.6247  1.85
F17 0.7902 0.7717 0.3739  0.00
F18 0.0553 0.7504 0.6636  0.01
F19 0.4611 0.7191 0.5883  0.01
F20 0.7439 0.0066 0.1250  0.00


Record 2
Density functional theory data (PBEsol) for crystalline NbSbN2F at its relaxed geometry.

Results
- total magnetic moment (μB/atom) = 0.51
- calculated density (g/cm³) = 6.477
- formation energy without anion corrections (eV per atom) = 0.5543
- space group = P4/mmm, No. 123
- crystal system = tetragonal

abc: 3.9759 4.1077 4.1077
angles: 90.00 90.00 90.00
Site moments in Bohr magnetons follow the coordinates.
Positions (direct):
Nb1 0.5000 0.5000 0.5000  2.25
N1 0.0000 0.5000 0.0000  -0.09
N2 0.0000 0.0000 0.5000  -0.09
F1 0.5000 0.0000 0.0000  0.05
Sb1 0.0000 0.0000 0.0000  0.01


Record 3
Density functional theory data (PBEsol) for crystalline BaCo2 at its relaxed geometry.

Results
- energy of formation (meV/atom) = 435
- total magnetic moment (μB/atom) = 0.81
- calculated density (g/cm³) = 7.519
- space group = Cmcm, No. 63
- crystal system = orthorhombic

abc: 4.2527 4.8501 5.9789
angles: 113.93 90.00 90.00
Site moments in Bohr magnetons follow the coordinates.
Positions (direct):
Ba1 0.2500 0.2444 0.0000  -0.13
Co1 0.7500 0.6051 0.4722  1.39
Co2 0.2500 0.3949 0.5278  1.39
Co3 0.7500 0.1329 0.5278  1.39
Co4 0.2500 0.8671 0.4722  1.39
Ba2 0.7500 0.7556 0.0000  -0.13